1.
# SmGdAu4

A geometry-optimized SmGdAu4 structure (PBE, OQMD).

Calculated values
* symmetry: P4/mmm (123)
* calculated total energy: -4.570 eV per atom
* formation energy: -831 meV/atom

Lattice parameters (Å, degrees): 3.769 3.769 9.135 90.00 90.00 90.00
Sites, in units of the cell vectors:
1 Sm 0.000 0.000 0.000
2 Gd 0.500 0.500 0.500
3 Au 0.000 0.000 0.336
4 Au 0.000 0.000 0.664
5 Au 0.500 0.500 0.168
6 Au 0.500 0.500 0.832



2.
# Y2Zr4Pb3N3

A geometry-optimized Y2Zr4Pb3N3 structure (PBE, OQMD).

Calculated values
* symmetry: C2/c (15)
* calculated total energy: -7.945 eV per atom

Lattice parameters (Å, degrees): 5.961 5.961 15.319 101.30 101.30 60.01
Sites, in units of the cell vectors:
1 Y 0.030 0.868 0.590
2 Y 0.132 0.970 0.910
3 Y 0.868 0.030 0.090
4 Y 0.970 0.132 0.410
5 Zr 0.193 0.356 0.078
6 Zr 0.303 0.477 0.422
7 Zr 0.356 0.193 0.578
8 Zr 0.477 0.303 0.922
9 Zr 0.523 0.697 0.078
10 Zr 0.644 0.807 0.422
11 Zr 0.697 0.523 0.578
12 Zr 0.807 0.644 0.922
13 Pb 0.085 0.272 0.751
14 Pb 0.272 0.085 0.251
15 Pb 0.440 0.560 0.750
16 Pb 0.560 0.440 0.250
17 Pb 0.728 0.915 0.749
18 Pb 0.915 0.728 0.249
19 N 0.000 0.500 0.500
20 N 0.170 0.659 0.000
21 N 0.341 0.830 0.500
22 N 0.500 0.000 0.000
23 N 0.659 0.170 0.500
24 N 0.830 0.341 0.000



3.
# Tm4HgSbC2

A geometry-optimized Tm4HgSbC2 structure (PBE, OQMD).

Calculated values
* symmetry: P-6m2 (187)
* calculated total energy: -5.648 eV per atom

Lattice parameters (Å, degrees): 3.576 3.576 15.207 90.00 90.00 120.00
Sites, in units of the cell vectors:
1 Tm 0.000 0.000 0.163
2 Tm 0.000 0.000 0.837
3 Tm 0.667 0.333 0.336
4 Tm 0.667 0.333 0.664
5 Hg 0.000 0.000 0.500
6 Sb 0.667 0.333 0.000
7 C 0.333 0.667 0.248
8 C 0.333 0.667 0.752